Entry 1:
Density functional theory data (PBE) for crystalline Er3NiIr8 at its relaxed geometry.

Formation enthalpy at 0 K   -0.5235 eV per atom
Total moment   0.062 μB/atom
Electronic total energy   -96.64 eV for the cell shown
DOS(E_F)   14.340 states/eV/f.u.

Lattice parameters (Å, degrees): 9.194 9.194 9.194 33.47 33.47 33.47
Atoms (fractional coordinates):
1 Er 0.000 0.000 0.000
2 Er 0.130 0.130 0.130
3 Er 0.517 0.517 0.517
4 Ni 0.653 0.653 0.653
5 Ir 0.068 0.068 0.569
6 Ir 0.068 0.569 0.068
7 Ir 0.069 0.567 0.567
8 Ir 0.317 0.317 0.317
9 Ir 0.567 0.069 0.567
10 Ir 0.567 0.567 0.069
11 Ir 0.569 0.068 0.068
12 Ir 0.818 0.818 0.818



Entry 2:
Density functional theory data (PBE) for crystalline Hg2PtCl6 at its relaxed geometry.

Energy relative to the elements, uncorrected   -0.500 eV/atom
Total moment   0.000 μB/atom
Electronic total energy   -44.45 eV for the cell shown
DOS(E_F)   0.000 states/eV/f.u.

Lattice parameters (Å, degrees): 8.242 8.965 10.782 90.00 127.57 90.00
Atoms (fractional coordinates):
1 Hg 0.027 0.075 0.174
2 Hg 0.027 0.425 0.674
3 Hg 0.973 0.575 0.326
4 Hg 0.973 0.925 0.826
5 Pt 0.000 0.000 0.500
6 Pt 0.000 0.500 0.000
7 Cl 0.182 0.120 0.738
8 Cl 0.182 0.380 0.238
9 Cl 0.239 0.070 0.466
10 Cl 0.239 0.430 0.966
11 Cl 0.248 0.591 0.605
12 Cl 0.248 0.909 0.105
13 Cl 0.752 0.091 0.895
14 Cl 0.752 0.409 0.395
15 Cl 0.761 0.570 0.034
16 Cl 0.761 0.930 0.534
17 Cl 0.818 0.620 0.762
18 Cl 0.818 0.880 0.262



Entry 3:
Density functional theory data (PBE) for crystalline LiV2Fe2 at its relaxed geometry.

Formation enthalpy at 0 K   0.1347 eV per atom
Excess energy over the best structure of this formula in the dataset   0.17 eV per formula unit
Total moment   0.000 μB/atom
Electronic total energy   -72.81 eV for the cell shown
DOS(E_F)   4.959 states/eV/f.u.

Lattice parameters (Å, degrees): 6.901 6.901 2.658 90.00 90.00 90.00
Atoms (fractional coordinates):
1 Li 0.000 0.000 0.000
2 Li 0.500 0.500 0.000
3 V 0.148 0.352 0.000
4 V 0.352 0.852 0.000
5 V 0.648 0.148 0.000
6 V 0.852 0.648 0.000
7 Fe 0.147 0.647 0.500
8 Fe 0.353 0.147 0.500
9 Fe 0.647 0.853 0.500
10 Fe 0.853 0.353 0.500



Entry 4:
Density functional theory data (PBE) for crystalline Zr4Cu3Ru at its relaxed geometry.

Formation enthalpy at 0 K   -0.2382 eV per atom
Total moment   0.000 μB/atom
Electronic total energy   -57.66 eV for the cell shown
DOS(E_F)   8.352 states/eV/f.u.

Lattice parameters (Å, degrees): 4.629 4.629 6.578 90.00 90.00 90.00
Atoms (fractional coordinates):
1 Zr 0.000 0.500 0.249
2 Zr 0.000 0.500 0.751
3 Zr 0.500 0.000 0.249
4 Zr 0.500 0.000 0.751
5 Cu 0.000 0.000 0.000
6 Cu 0.000 0.000 0.500
7 Cu 0.500 0.500 0.500
8 Ru 0.500 0.500 0.000